BeCdAu2: optimized geometry, GGA-PBE.

* space group: No. 122
* DFT formation energy: -0.02 eV/atom
* distance to the lowest polymorph of the same formula: 136 meV/atom

Geometry as POSCAR:
```
BeCdAu2
1.0
-3.5737 3.5737 2.7329
3.5737 -3.5737 2.7329
3.5737 3.5737 -2.7329
Be Cd Au
2 2 4
Direct
0.0000 0.0000 0.0000
0.7500 0.2500 0.5000
0.2500 0.7500 0.5000
0.5000 0.5000 0.0000
0.0514 0.6250 0.9264
0.3750 0.3014 0.4264
0.6986 0.1250 0.0736
0.8750 0.9486 0.5736
```